Entry from Alexandria: CuHgBF6 after structural relaxation (PBE-GGA).

As for the uncorrected formation energy: -17.6 eV/f.u. For the total magnetization, the calculation gives 0.002 μB per atom. The calculation puts the density of states at the Fermi level at 0.81 states/eV per cell.

Unit cell a=5.8196 b=6.1296 c=6.3429 alpha=95.93 beta=99.61 gamma=42.46
Last column: nearest neighbours and their distance in Å.
Atoms (fractional coordinates):
1 F 0.7634 0.5169 0.1876  1 Cu 1.95, 1 Hg 2.13
2 Hg 0.1221 0.1838 0.9688  2 F 2.13
3 F 0.1122 0.4981 0.6180  1 B 1.43
4 F 0.6804 0.2125 0.6877  1 B 1.39
5 Cu 0.6262 0.6764 0.4711  3 F 1.95-2.12
6 B 0.4060 0.3538 0.5263  4 F 1.39-1.43
7 F 0.3222 0.5983 0.4107  1 B 1.43
8 F 0.4770 0.8415 0.7513  1 Cu 1.95, 1 Hg 2.13
9 F 0.4902 0.1188 0.3784  1 B 1.42